## BeCd2TeCl (PBE)

Data for an optimized crystal structure of BeCd2TeCl.

Unit cell a=5.930 b=4.877 c=5.930 alpha=90.00 beta=90.00 gamma=90.00
Fractional coordinates of all 5 atoms:
Te1 0.000 0.000 0.000
Cd1 0.500 0.000 0.000
Cd2 0.000 0.000 0.500
Be1 0.000 0.500 0.000
Cl1 0.500 0.500 0.500

Summary:
Its mass density is 3843 kg/m³. For the density of states at the Fermi level, the calculation gives 2.6 states/eV/cell. Its symmetry is P4/mmm. The value obtained for the formation energy (no corrections) is 0.3750 eV/atom.

***

## BeCd2Co2 (PBE)

Data for an optimized crystal structure of BeCd2Co2.

Unit cell a=5.736 b=5.736 c=4.322 alpha=90.00 beta=90.00 gamma=90.00
Site moments in Bohr magnetons follow the coordinates.
Fractional coordinates of all 10 atoms:
Be1 0.500 0.500 0.000  -0.05
Be2 0.000 0.000 0.000  -0.05
Cd1 0.675 0.825 0.500  -0.03
Cd2 0.325 0.175 0.500  -0.03
Cd3 0.825 0.325 0.500  -0.03
Cd4 0.175 0.675 0.500  -0.03
Co1 0.861 0.639 0.000  0.62
Co2 0.139 0.361 0.000  0.62
Co3 0.361 0.861 0.000  0.66
Co4 0.639 0.139 0.000  0.66

Summary:
Its mass density is 8212 kg/m³. For the density of states at the Fermi level, the calculation gives 8.4 states/eV/cell. Its calculated formation energy is 0.204 eV/atom. Its symmetry is P4/mbm.

***

## Be2CdCo (PBE)

Data for an optimized crystal structure of Be2CdCo.

Unit cell a=8.247 b=8.247 c=8.247 alpha=18.68 beta=18.68 gamma=18.68
Site moments in Bohr magnetons follow the coordinates.
Fractional coordinates of all 4 atoms:
Cd1 0.500 0.500 0.500  -0.01
Be1 0.264 0.264 0.264  0.02
Be2 0.001 0.001 0.001  -0.03
Co1 0.735 0.735 0.735  1.25

Summary:
Its mass density is 6256 kg/m³. For the density of states at the Fermi level, the calculation gives 3.5 states/eV/cell. Its calculated formation energy is 0.435 eV/atom. Its symmetry is R3m.

***

## Be2CdCo (PBE)

Data for an optimized crystal structure of Be2CdCo.

Unit cell a=4.077 b=4.077 c=4.077 alpha=60.00 beta=60.00 gamma=60.00
Fractional coordinates of all 4 atoms:
Be1 0.250 0.250 0.250
Be2 0.000 0.000 0.000
Co1 0.750 0.750 0.750
Cd1 0.500 0.500 0.500

Summary:
Its mass density is 6562 kg/m³. For the density of states at the Fermi level, the calculation gives 2.7 states/eV/cell. Its calculated formation energy is 0.349 eV/atom. Its symmetry is F-43m.

***

## Be2CdCo (PBE)

Data for an optimized crystal structure of Be2CdCo.

Unit cell a=4.139 b=4.139 c=4.592 alpha=75.73 beta=75.73 gamma=40.43
Fractional coordinates of all 4 atoms:
Be1 0.529 0.529 0.394
Be2 0.971 0.971 0.106
Cd1 0.750 0.750 0.750
Co1 0.250 0.250 0.250

Summary:
Its mass density is 6388 kg/m³. For the density of states at the Fermi level, the calculation gives 1.4 states/eV/cell. Its calculated formation energy is 0.177 eV/atom. Its symmetry is C2/m.

***

## Be2CdCo (PBE)

Data for an optimized crystal structure of Be2CdCo.

Unit cell a=2.798 b=2.798 c=5.993 alpha=90.00 beta=90.00 gamma=90.00
Fractional coordinates of all 4 atoms:
Be1 0.500 0.500 0.186
Be2 0.000 0.000 0.990
Co1 0.500 0.500 0.825
Cd1 0.000 0.000 0.498

Summary:
Its mass density is 6704 kg/m³. For the density of states at the Fermi level, the calculation gives 1.4 states/eV/cell. Its calculated formation energy is 0.128 eV/atom. Its symmetry is P4mm.

***

## BeCd3Co (PBE)

Data for an optimized crystal structure of BeCd3Co.

Unit cell a=4.918 b=4.918 c=4.918 alpha=90.00 beta=90.00 gamma=90.00
Site moments in Bohr magnetons follow the coordinates.
Fractional coordinates of all 5 atoms:
Be1 0.500 0.500 0.500  0.01
Cd1 0.000 0.500 0.000  -0.01
Cd2 0.500 0.000 0.000  -0.01
Cd3 0.000 0.000 0.500  -0.01
Co1 0.000 0.000 0.000  0.61

Summary:
Its mass density is 5657 kg/m³. For the density of states at the Fermi level, the calculation gives 5.2 states/eV/cell. The value obtained for the energy above the lowest structure with this stoichiometry is 178 meV/atom. Its calculated formation energy is 0.923 eV/atom. Its symmetry is Pm-3m.

***

## Be2CdCo (PBE)

Data for an optimized crystal structure of Be2CdCo.

Unit cell a=8.388 b=8.388 c=8.388 alpha=18.35 beta=18.35 gamma=18.35
Fractional coordinates of all 4 atoms:
Be1 0.019 0.019 0.019
Be2 0.481 0.481 0.481
Cd1 0.250 0.250 0.250
Co1 0.750 0.750 0.750

Summary:
Its mass density is 6154 kg/m³. For the density of states at the Fermi level, the calculation gives 2.4 states/eV/cell. Its calculated formation energy is 0.316 eV/atom. Its symmetry is R-3m.

***

Raw total energy (computed, eV per atom): -1.734; -3.749; -3.434; -3.519; -3.692; -3.741; -1.793; -3.552